# 1
DFT (PBE) results for Tb5Ho12Tm2 after structural relaxation. Values from VASP.

```
&SYSTEM
  ibrav = 0, nat = 19, ntyp = 3
/
ATOMIC_SPECIES
Ho 164.93 Ho.upf
Tm 168.93 Tm.upf
Tb 158.93 Tb.upf
ATOMIC_POSITIONS angstrom
Ho 3.918 4.817 4.084
Ho 2.611 1.330 3.710
Ho 1.063 3.084 9.445
Ho 3.321 6.557 1.027
Ho -1.225 7.189 4.993
Ho 0.409 4.817 3.011
Ho 5.493 4.445 -0.569
Ho 1.006 3.077 6.068
Ho 5.553 2.445 2.102
Ho -1.165 5.189 7.664
Ho 3.264 6.550 -2.350
Ho 1.716 8.304 3.384
Tm 3.836 1.562 10.757
Tm 0.492 8.072 -3.662
Tb 2.660 3.411 0.936
Tb -0.376 0.145 5.869
Tb 1.667 6.223 6.159
Tb 4.068 3.768 7.755
Tb 0.259 5.866 -0.660
CELL_PARAMETERS angstrom
6.211 1.587 -0.632
-1.131 7.757 -4.012
-0.752 0.290 11.739
```

Computed properties:
**ΔE to the lowest computed polymorph**: 0 meV/atom
**Size of the total moment**: 0.00 μB/cell
**Formation enthalpy at 0 K**: 0.089 eV/atom
**E_tot**: -4.4915 eV per atom

# 2
DFT (PBE) results for RbAlF4 after structural relaxation. Values from VASP.

```
&SYSTEM
  ibrav = 0, nat = 12, ntyp = 3
/
ATOMIC_SPECIES
F 19.00 F.upf
Al 26.98 Al.upf
Rb 85.47 Rb.upf
ATOMIC_POSITIONS angstrom
F 2.426 5.844 1.981
F 1.842 3.138 -0.439
F 1.349 0.447 5.598
F 3.529 1.660 6.560
F 1.351 2.882 5.604
F 0.247 4.621 1.026
F 1.934 0.176 8.025
F 2.427 3.408 1.987
Al 1.656 1.661 6.873
Al 2.120 4.623 0.712
Rb 3.047 4.625 4.558
Rb 0.730 1.663 3.027
CELL_PARAMETERS angstrom
3.683 0.000 -0.887
0.000 5.923 0.000
0.093 0.000 8.473
```

Computed properties:
**Size of the total moment**: 0.00 μB/cell
**Formation energy from raw total energies**: -1906 kJ/mol of formula units
**E_tot**: -5.3251 eV per atom

# 3
DFT (PBE) results for Si3Se2 after structural relaxation. Values from VASP.

```
&SYSTEM
  ibrav = 0, nat = 10, ntyp = 2
/
ATOMIC_SPECIES
Si 28.09 Si.upf
Se 78.96 Se.upf
ATOMIC_POSITIONS angstrom
Si 0.327 5.625 6.224
Si 1.835 2.813 3.112
Si 2.226 3.677 0.868
Si 2.226 1.948 5.357
Si 0.719 0.864 2.245
Si 0.719 4.761 3.980
Se 2.887 3.687 6.790
Se 4.395 6.500 8.772
Se 2.887 7.564 5.659
Se 4.395 10.377 9.902
CELL_PARAMETERS angstrom
0.000 5.625 6.224
3.015 0.000 6.224
3.015 5.625 0.000
```

Computed properties:
**ΔE to the lowest computed polymorph**: 0 meV/atom
**Size of the total moment**: 0.00 μB/cell
**Formation energy from raw total energies**: -23 kJ/mol of formula units
**E_tot**: -4.6955 eV per atom

# 4
DFT (PBE) results for VGa2CoCu after structural relaxation. Values from VASP.

```
&SYSTEM
  ibrav = 0, nat = 5, ntyp = 4
/
ATOMIC_SPECIES
Co 58.93 Co.upf
Ga 69.72 Ga.upf
Cu 63.55 Cu.upf
V 50.94 V.upf
ATOMIC_POSITIONS angstrom
Co 0.000 2.176 0.000
Ga 0.000 0.000 2.172
Ga 2.172 0.000 0.000
Cu 0.000 0.000 0.000
V 2.172 2.176 2.172
CELL_PARAMETERS angstrom
4.343 0.000 0.000
0.000 4.351 0.000
0.000 0.000 4.343
```

Computed properties:
**Size of the total moment**: 0.00 μB/cell
**Formation enthalpy at 0 K**: 0.902 eV/atom
**E_tot**: -4.3728 eV per atom

# 5
DFT (PBE) results for TmCoIr after structural relaxation. Values from VASP.

```
&SYSTEM
  ibrav = 0, nat = 12, ntyp = 3
/
ATOMIC_SPECIES
Co 58.93 Co.upf
Ir 192.22 Ir.upf
Tm 168.93 Tm.upf
ATOMIC_POSITIONS angstrom
Co 1.420 -4.690 3.481
Co -0.901 -3.228 0.675
Co -5.697 -2.704 3.472
Co -2.487 -4.946 3.737
Ir -3.079 -7.067 4.181
Ir -0.626 -4.294 2.643
Ir -3.650 -3.101 4.309
Ir -0.309 -1.107 0.232
Tm -1.890 -6.768 1.416
Tm -1.498 -1.406 2.997
Tm -3.803 -3.679 1.344
Tm -0.474 -3.716 5.609
CELL_PARAMETERS angstrom
-5.570 -3.640 -0.831
3.069 -5.313 2.704
-1.776 1.559 5.079
```

Computed properties:
**Size of the total moment**: 0.00 μB/cell
**Formation enthalpy at 0 K**: -0.114 eV/atom
**E_tot**: -6.9265 eV per atom

# 6
DFT (PBE) results for MnTcRu2 after structural relaxation. Values from VASP.

```
&SYSTEM
  ibrav = 0, nat = 4, ntyp = 3
/
ATOMIC_SPECIES
Mn 54.94 Mn.upf
Tc 98.00 Tc.upf
Ru 101.07 Ru.upf
ATOMIC_POSITIONS angstrom
Mn 4.314 2.490 1.761
Tc 2.157 1.245 0.881
Ru 0.000 0.000 0.000
Ru 6.470 3.736 2.642
CELL_PARAMETERS angstrom
4.314 0.000 0.000
2.157 3.736 0.000
2.157 1.245 3.522
```

Computed properties:
**ΔE to the lowest computed polymorph**: 263 meV/atom
**Size of the total moment**: 4.70 μB/cell
**Formation enthalpy at 0 K**: 0.327 eV/atom
**E_tot**: -9.1953 eV per atom

# 7
DFT (PBE) results for PmDyZnTc after structural relaxation. Values from VASP.

```
&SYSTEM
  ibrav = 0, nat = 4, ntyp = 4
/
ATOMIC_SPECIES
Tc 98.00 Tc.upf
Dy 162.50 Dy.upf
Pm 145.00 Pm.upf
Zn 65.41 Zn.upf
ATOMIC_POSITIONS angstrom
Tc 4.989 2.880 2.037
Dy 7.483 4.320 3.055
Pm 2.494 1.440 1.018
Zn 0.000 0.000 0.000
CELL_PARAMETERS angstrom
4.989 0.000 0.000
2.494 4.320 0.000
2.494 1.440 4.073
```

Computed properties:
**Size of the total moment**: 0.00 μB/cell
**Formation enthalpy at 0 K**: -0.093 eV/atom
**E_tot**: -5.3409 eV per atom

# 8
DFT (PBE) results for NaNb3Al after structural relaxation. Values from VASP.

```
&SYSTEM
  ibrav = 0, nat = 5, ntyp = 3
/
ATOMIC_SPECIES
Nb 92.91 Nb.upf
Al 26.98 Al.upf
Na 22.99 Na.upf
ATOMIC_POSITIONS angstrom
Nb 0.000 2.331 0.000
Nb 0.000 0.000 2.331
Nb 2.331 0.000 0.000
Al 2.331 2.331 2.331
Na 0.000 0.000 0.000
CELL_PARAMETERS angstrom
4.662 0.000 0.000
0.000 4.662 0.000
0.000 0.000 4.662
```

Computed properties:
**ΔE to the lowest computed polymorph**: 571 meV/atom
**Size of the total moment**: 0.00 μB/cell
**Formation enthalpy at 0 K**: 1.879 eV/atom
**E_tot**: -5.1749 eV per atom

# 9
DFT (PBE) results for Nd12In4HgO3 after structural relaxation. Values from VASP.

```
&SYSTEM
  ibrav = 0, nat = 20, ntyp = 4
/
ATOMIC_SPECIES
O 16.00 O.upf
Nd 144.24 Nd.upf
Hg 200.59 Hg.upf
In 114.82 In.upf
ATOMIC_POSITIONS angstrom
O -2.994 2.117 3.667
O 2.994 -2.117 3.667
O 2.994 4.235 0.000
Nd 4.492 3.176 1.834
Nd -4.352 3.077 5.330
Nd -1.497 4.235 3.667
Nd 1.637 -1.157 2.005
Nd 4.352 -3.077 5.330
Nd -1.637 1.157 2.005
Nd 4.492 0.000 3.667
Nd -1.497 1.059 5.501
Nd 4.352 6.154 0.000
Nd 1.497 5.293 1.834
Nd 1.637 2.315 0.000
Nd 1.497 -1.059 5.501
Hg 0.000 0.000 0.000
In -1.497 4.235 0.000
In 1.497 2.117 3.667
In 4.492 0.000 0.000
In -1.497 -2.117 3.667
CELL_PARAMETERS angstrom
8.983 0.000 0.000
-2.994 8.469 0.000
-2.994 -4.235 7.335
```

Computed properties:
**Size of the total moment**: 0.00 μB/cell
**Formation energy from raw total energies**: -1859 kJ/mol of formula units
**E_tot**: -5.1307 eV per atom

# 10
DFT (PBE) results for SrTlHg14 after structural relaxation. Values from VASP.

```
&SYSTEM
  ibrav = 0, nat = 16, ntyp = 3
/
ATOMIC_SPECIES
Hg 200.59 Hg.upf
Sr 87.62 Sr.upf
Tl 204.38 Tl.upf
ATOMIC_POSITIONS angstrom
Hg -2.320 -1.556 -0.568
Hg -6.775 -3.756 0.647
Hg -2.277 -5.285 3.604
Hg -5.519 -4.692 3.631
Hg -3.463 -4.518 0.644
Hg -1.091 -6.053 6.564
Hg -1.033 -2.477 2.408
Hg -4.693 -7.300 1.859
Hg 0.964 -5.879 3.572
Hg -3.522 -8.094 4.796
Hg -0.240 -5.102 0.645
Hg -3.081 -2.662 5.403
Hg -1.474 -7.906 1.804
Hg -2.655 -7.116 -1.096
Sr -4.358 -1.741 2.389
Tl -4.736 -3.570 -2.307
CELL_PARAMETERS angstrom
-4.075 -0.368 5.914
-4.830 -4.029 -3.485
4.162 -7.089 2.427
```

Computed properties:
**Size of the total moment**: 0.00 μB/cell
**Formation enthalpy at 0 K**: -0.115 eV/atom
**E_tot**: -0.6325 eV per atom

# 11
DFT (PBE) results for ErCoIr after structural relaxation. Values from VASP.

```
&SYSTEM
  ibrav = 0, nat = 6, ntyp = 3
/
ATOMIC_SPECIES
Co 58.93 Co.upf
Ir 192.22 Ir.upf
Er 167.26 Er.upf
ATOMIC_POSITIONS angstrom
Co -2.473 0.145 2.350
Co 1.569 -4.517 0.659
Ir -0.452 -2.186 1.504
Ir 0.716 0.085 2.593
Er -2.534 -1.601 -1.021
Er 1.629 -2.770 4.030
CELL_PARAMETERS angstrom
-4.884 0.200 -2.256
2.548 -4.742 0.078
1.432 0.170 5.187
```

Computed properties:
**Size of the total moment**: 3.50 μB/cell
**Formation enthalpy at 0 K**: -0.270 eV/atom
**E_tot**: -7.1136 eV per atom

# 12
DFT (PBE) results for Fe5Si after structural relaxation. Values from VASP.

```
&SYSTEM
  ibrav = 0, nat = 6, ntyp = 2
/
ATOMIC_SPECIES
Fe 55.84 Fe.upf
Si 28.09 Si.upf
ATOMIC_POSITIONS angstrom
Fe -2.302 -3.659 2.745
Fe 0.337 -3.079 1.943
Fe -1.667 -2.520 0.667
Fe -0.881 -5.128 1.418
Fe -0.247 -3.989 -0.660
Si 0.970 -1.943 -0.128
CELL_PARAMETERS angstrom
-3.223 -1.490 -1.801
3.429 -2.022 -0.062
-1.265 -2.271 4.142
```

Computed properties:
**ΔE to the lowest computed polymorph**: 0 meV/atom
**Size of the total moment**: 10.01 μB/cell
**Formation energy from raw total energies**: -118 kJ/mol of formula units
**E_tot**: -8.1605 eV per atom

# 13
DFT (PBE) results for Y7TlSe5 after structural relaxation. Values from VASP.

```
&SYSTEM
  ibrav = 0, nat = 26, ntyp = 3
/
ATOMIC_SPECIES
Tl 204.38 Tl.upf
Se 78.96 Se.upf
Y 88.91 Y.upf
ATOMIC_POSITIONS angstrom
Tl -11.614 3.516 13.883
Tl -2.784 -1.758 6.890
Se -9.046 0.476 11.176
Se -15.278 2.551 16.838
Se -2.877 -1.256 2.510
Se -8.740 2.911 7.942
Se -7.679 1.735 14.766
Se -6.719 0.023 6.008
Se 0.879 -0.793 3.935
Se -5.351 1.282 9.598
Se 0.001 -0.001 0.003
Se -11.522 3.014 18.262
Y -4.392 -1.403 10.060
Y -12.718 1.528 16.124
Y -13.766 2.424 11.902
Y -14.754 4.742 15.031
Y 0.353 -2.983 5.743
Y -7.840 0.231 8.594
Y -10.157 0.676 13.791
Y -0.341 -2.267 1.780
Y -6.556 1.526 12.180
Y -4.241 1.082 6.982
Y -14.058 4.025 18.994
Y -1.681 0.230 4.648
Y -0.632 -0.666 8.871
Y -10.005 3.161 10.714
CELL_PARAMETERS angstrom
-1.597 -3.723 -0.393
4.680 -0.342 5.284
-17.486 5.825 15.877
```

Computed properties:
**Size of the total moment**: 0.00 μB/cell
**Formation energy from raw total energies**: -1817 kJ/mol of formula units
**E_tot**: -6.4518 eV per atom

# 14
DFT (PBE) results for PmTl2Zn3F12 after structural relaxation. Values from VASP.

```
&SYSTEM
  ibrav = 0, nat = 18, ntyp = 4
/
ATOMIC_SPECIES
F 19.00 F.upf
Zn 65.41 Zn.upf
Pm 145.00 Pm.upf
Tl 204.38 Tl.upf
ATOMIC_POSITIONS angstrom
F 9.585 5.580 1.972
F 5.256 5.878 4.169
F 4.855 0.952 0.675
F 7.707 4.486 0.196
F 9.585 3.706 4.614
F 3.226 1.878 3.317
F 5.104 2.971 5.093
F 7.555 1.579 1.120
F 5.104 5.789 1.120
F 7.956 6.505 4.614
F 3.226 3.752 0.675
F 7.707 1.668 4.169
Zn 1.499 3.068 -0.150
Zn 1.499 0.872 2.945
Zn 3.408 -0.212 -0.150
Pm 0.000 0.000 0.000
Tl 5.018 2.921 2.072
Tl 7.793 4.536 3.217
CELL_PARAMETERS angstrom
6.816 -0.423 -0.300
2.998 6.136 -0.300
2.998 1.745 5.890
```

Computed properties:
**Size of the total moment**: 0.00 μB/cell
**Formation energy from raw total energies**: -4329 kJ/mol of formula units
**E_tot**: -4.4796 eV per atom

# 15
DFT (PBE) results for Mg2Ta2In after structural relaxation. Values from VASP.

```
&SYSTEM
  ibrav = 0, nat = 5, ntyp = 3
/
ATOMIC_SPECIES
In 114.82 In.upf
Ta 180.95 Ta.upf
Mg 24.30 Mg.upf
ATOMIC_POSITIONS angstrom
In 0.000 0.000 0.000
Ta 4.210 2.371 3.237
Ta 2.599 4.449 2.696
Mg 1.422 1.678 2.212
Mg 5.387 5.142 3.721
CELL_PARAMETERS angstrom
-1.456 2.866 2.021
1.765 -1.292 3.103
6.499 5.246 0.809
```

Computed properties:
**ΔE to the lowest computed polymorph**: 0 meV/atom
**Size of the total moment**: 0.00 μB/cell
**Formation enthalpy at 0 K**: 0.569 eV/atom
**E_tot**: -5.3576 eV per atom

# 16
DFT (PBE) results for RbNdTe2O8 after structural relaxation. Values from VASP.

```
&SYSTEM
  ibrav = 0, nat = 12, ntyp = 4
/
ATOMIC_SPECIES
Rb 85.47 Rb.upf
O 16.00 O.upf
Te 127.60 Te.upf
Nd 144.24 Nd.upf
ATOMIC_POSITIONS angstrom
Rb 0.000 0.000 0.000
O -2.211 -1.821 -1.370
O -5.126 -7.143 0.056
O -3.099 -6.236 -1.990
O -2.209 -6.877 0.788
O -0.184 -0.913 -3.416
O -3.831 -4.424 0.268
O -1.479 -3.633 -3.628
O -3.101 -1.180 -4.148
Te -1.710 -1.866 -3.146
Te -3.600 -6.191 -0.214
Nd -3.429 -2.140 0.606
CELL_PARAMETERS angstrom
-1.783 1.235 -5.732
3.332 -5.011 1.160
-6.859 -4.280 1.212
```

Computed properties:
**Size of the total moment**: 0.00 μB/cell
**Formation energy from raw total energies**: -1797 kJ/mol of formula units
**E_tot**: -5.8592 eV per atom

# 17
DFT (PBE) results for Rb2AsRhF6 after structural relaxation. Values from VASP.

```
&SYSTEM
  ibrav = 0, nat = 10, ntyp = 4
/
ATOMIC_SPECIES
F 19.00 F.upf
Rb 85.47 Rb.upf
As 74.92 As.upf
Rh 102.91 Rh.upf
ATOMIC_POSITIONS angstrom
F 3.140 3.140 2.070
F 1.675 1.675 0.000
F 4.605 4.605 0.000
F 4.605 1.675 0.000
F 1.675 4.605 0.000
F 6.280 6.280 2.384
Rb 3.140 6.280 2.227
Rb 6.280 3.140 2.227
As 3.140 3.140 0.000
Rh 0.000 0.000 0.000
CELL_PARAMETERS angstrom
6.280 0.000 0.000
0.000 6.280 0.000
3.140 3.140 4.455
```

Computed properties:
**Size of the total moment**: 2.00 μB/cell
**Formation energy from raw total energies**: -1894 kJ/mol of formula units
**E_tot**: -4.4796 eV per atom

# 18
DFT (PBE) results for In8AgBi2 after structural relaxation. Values from VASP.

```
&SYSTEM
  ibrav = 0, nat = 11, ntyp = 3
/
ATOMIC_SPECIES
Ag 107.87 Ag.upf
In 114.82 In.upf
Bi 208.98 Bi.upf
ATOMIC_POSITIONS angstrom
Ag -2.356 0.030 0.794
In -2.600 -6.529 0.319
In -0.583 -1.338 -1.679
In 0.336 -5.307 1.198
In -3.608 -2.811 -2.812
In -1.595 -7.066 3.322
In 0.422 -1.875 1.323
In 1.430 -5.593 4.455
In -2.514 -3.097 0.445
Bi -1.449 -3.752 3.628
Bi -0.729 -4.652 -1.986
CELL_PARAMETERS angstrom
-4.712 0.060 1.588
-2.229 -2.473 -6.521
4.763 -5.992 6.576
```

Computed properties:
**Size of the total moment**: 0.00 μB/cell
**Formation enthalpy at 0 K**: 0.043 eV/atom
**E_tot**: -2.9136 eV per atom

# 19
DFT (PBE) results for Sr2ZrRuI after structural relaxation. Values from VASP.

```
&SYSTEM
  ibrav = 0, nat = 5, ntyp = 4
/
ATOMIC_SPECIES
Sr 87.62 Sr.upf
Zr 91.22 Zr.upf
I 126.90 I.upf
Ru 101.07 Ru.upf
ATOMIC_POSITIONS angstrom
Sr 3.088 0.000 0.000
Sr 0.000 0.000 3.088
Zr 0.000 2.409 0.000
I 3.088 2.409 3.088
Ru 0.000 0.000 0.000
CELL_PARAMETERS angstrom
6.176 0.000 0.000
0.000 4.817 0.000
0.000 0.000 6.176
```

Computed properties:
**Size of the total moment**: 0.00 μB/cell
**Formation energy from raw total energies**: -27 kJ/mol of formula units
**E_tot**: -4.6032 eV per atom

# 20
DFT (PBE) results for NaH2S6 after structural relaxation. Values from VASP.

```
&SYSTEM
  ibrav = 0, nat = 18, ntyp = 3
/
ATOMIC_SPECIES
S 32.06 S.upf
H 1.01 H.upf
Na 22.99 Na.upf
ATOMIC_POSITIONS angstrom
S 11.581 -14.195 -2.411
S 7.985 -10.485 -3.837
S 12.964 -18.171 -2.193
S 9.560 -11.432 -2.930
S 9.835 -14.678 0.405
S 6.101 -6.890 -3.424
S 11.149 -15.504 -0.934
S 7.951 -11.084 0.818
S 4.786 -6.065 -2.085
S 2.972 -3.397 -0.826
S 6.376 -10.137 -0.089
S 4.355 -7.373 -0.608
H 9.005 -10.698 -0.116
H 5.961 -7.086 0.434
H 6.930 -10.870 -2.903
H 9.975 -14.482 -3.453
Na 7.847 -9.062 3.291
Na 8.089 -12.507 -6.309
CELL_PARAMETERS angstrom
2.630 -7.889 -0.732
5.974 -6.524 -6.985
7.332 -7.156 4.699
```

Computed properties:
**Size of the total moment**: 0.00 μB/cell
**E_tot**: -3.8088 eV per atom

# 21
DFT (PBE) results for BaSrW2 after structural relaxation. Values from VASP.

```
&SYSTEM
  ibrav = 0, nat = 4, ntyp = 3
/
ATOMIC_SPECIES
Ba 137.33 Ba.upf
W 183.84 W.upf
Sr 87.62 Sr.upf
ATOMIC_POSITIONS angstrom
Ba -2.245 -6.594 5.290
W -0.032 -0.095 0.076
W -4.457 -13.092 10.504
Sr -6.734 -19.781 15.870
CELL_PARAMETERS angstrom
-4.238 -9.304 5.886
-1.339 -9.447 6.939
-3.402 -7.623 8.336
```

Computed properties:
**ΔE to the lowest computed polymorph**: 970 meV/atom
**Size of the total moment**: 0.00 μB/cell
**Formation enthalpy at 0 K**: 1.696 eV/atom
**E_tot**: -5.6819 eV per atom